Record 1
A plane-wave DFT calculation with SCAN was carried out for NbNiGe at its PBEsol-relaxed geometry.

Calculated values
DOS(E_F), states/eV per atom: 0.574
DFT formation energy, eV/atom: -0.590
Crystal system: orthorhombic
VASP energy, eV/atom: -23.39

a b c (Å): 3.753 6.255 7.141
angles (deg): 90.00 90.00 90.00
Fractional positions:
Ni: 0.250 0.659 0.069
Ni: 0.750 0.841 0.569
Ni: 0.750 0.341 0.931
Ni: 0.250 0.159 0.431
Ge: 0.750 0.719 0.884
Ge: 0.750 0.219 0.616
Ge: 0.250 0.781 0.384
Ge: 0.250 0.281 0.116
Nb: 0.750 0.483 0.322
Nb: 0.250 0.517 0.678
Nb: 0.250 0.017 0.822
Nb: 0.750 0.983 0.178

Record 2
A plane-wave DFT calculation with SCAN was carried out for YCu2Si2 at its PBEsol-relaxed geometry.

Calculated values
DOS(E_F), states/eV per atom: 0.335
Crystal system: tetragonal
VASP energy, eV/atom: -16.13
Raw formation energy, kJ/mol of formula units: -228

a b c (Å): 3.952 3.952 5.668
angles (deg): 110.40 110.40 90.00
Fractional positions:
Y: 0.000 0.000 0.000
Cu: 0.620 0.620 0.241
Cu: 0.380 0.380 0.759
Si: 0.750 0.250 0.500
Si: 0.250 0.750 0.500

Record 3
A plane-wave DFT calculation with SCAN was carried out for HfCuGe at its PBEsol-relaxed geometry.

Calculated values
DOS(E_F), states/eV per atom: 0.395
DFT formation energy, eV/atom: -0.586
Crystal system: orthorhombic
VASP energy, eV/atom: -32.91

a b c (Å): 3.928 6.417 7.317
angles (deg): 90.00 90.00 90.00
Fractional positions:
Cu: 0.250 0.172 0.422
Cu: 0.750 0.828 0.578
Cu: 0.750 0.328 0.922
Cu: 0.250 0.672 0.078
Hf: 0.750 0.490 0.306
Hf: 0.250 0.010 0.806
Hf: 0.250 0.510 0.694
Hf: 0.750 0.990 0.194
Ge: 0.750 0.722 0.899
Ge: 0.250 0.778 0.399
Ge: 0.750 0.222 0.601
Ge: 0.250 0.278 0.101

no.,volume (Å³ per cell)
1,167.6
2,77.0
3,184.4